No. 1
DFT (PBE) results for crystalline In2ReCl at its relaxed geometry.

Results
- E above lowest polymorph: 7.119 kcal/mol of atoms
- Magnetization: 0.211 μB per formula unit
- Uncorrected formation energy: 580 meV/atom

Cell lengths 2.8872, 4.4808, 13.6774 Å; angles 90.00, 90.00, 90.00 degrees
Space group Immm (No. 71)
Asymmetric unit:
In  0.0000  0.0000  0.1833 x4
Re  0.0000  0.5000  0.5000 x2
Cl  0.0000  0.5000  0.0000 x2

No. 2
DFT (PBE) results for crystalline Al5Re at its relaxed geometry.

Results
- Magnetization: 0.000 μB per formula unit
- E_form: 0.43 eV per atom

Cell lengths 4.8834, 4.8834, 4.6813 Å; angles 90.00, 90.00, 120.00 degrees
Space group P6/mmm (No. 191)
Asymmetric unit:
Al  0.0000  0.5000  0.0000 x3
Al  0.3333  0.6667  0.5000 x2
Re  0.0000  0.0000  0.5000 x1

No. 3
DFT (PBE) results for crystalline RbCaFe2Br8 at its relaxed geometry.

Results
- Magnetization: 9.000 μB per formula unit
- Uncorrected formation energy: -1073 meV/atom

Cell lengths 6.9487, 6.9487, 10.1684 Å; angles 90.00, 90.00, 120.00 degrees
Space group P-3 (No. 147)
Asymmetric unit:
Rb  0.0000  0.0000  0.0000 x1
Ca  0.0000  0.0000  0.5000 x1
Fe  0.3333  0.6667  0.7497 x2
Br  0.0044  0.3335  0.6775 x6
Br  0.3333  0.6667  0.9812 x2

No. 4
DFT (PBE) results for crystalline LaRu2Pt at its relaxed geometry.

Results
- E above lowest polymorph: 16.352 kcal/mol of atoms
- Magnetization: 0.115 μB per formula unit
- E_form: 0.55 eV per atom

Cell lengths 2.8727, 2.8727, 29.4448 Å; angles 90.00, 90.00, 120.00 degrees
Space group R-3m (No. 166, hexagonal axes)
Asymmetric unit:
La  0.0000  0.0000  0.0000 x3
Ru  0.0000  0.0000  0.2405 x6
Pt  0.0000  0.0000  0.5000 x3

No. 5
DFT (PBE) results for crystalline LaMo2Ru2 at its relaxed geometry.

Results
- E above lowest polymorph: 3.354 kcal/mol of atoms
- Magnetization: 0.000 μB per formula unit
- E_form: 0.14 eV per atom

Cell lengths 4.4495, 4.4495, 10.0741 Å; angles 90.00, 90.00, 90.00 degrees
Space group I4/mmm (No. 139)
Asymmetric unit:
La  0.0000  0.0000  0.0000 x2
Mo  0.0000  0.0000  0.3724 x4
Ru  0.0000  0.5000  0.2500 x4

No. 6
DFT (PBE) results for crystalline BaSiBr2 at its relaxed geometry.

Results
- E above lowest polymorph: 3.786 kcal/mol of atoms
- Magnetization: 0.000 μB per formula unit
- Uncorrected formation energy: -687 meV/atom

Cell lengths 4.1150, 4.5520, 6.8410 Å; angles 90.00, 106.31, 90.00 degrees
Space group P2/m (No. 10)
Asymmetric unit:
Ba  0.0000  0.0000  0.0000 x1
Si  0.5000  0.0000  0.5000 x1
Br  0.3894  0.5000  0.7395 x2

How do the records compare in E_tot? In the order shown, they have -4.36; -4.77; -3.85; -6.83; -8.89; -3.36 eV/atom.
How do the records compare in DOS at the Fermi energy? In the order shown, they have 3.39; 1.58; 9.11; 6.16; 4.39; 1.63 states/eV/f.u..